# 1
Here is Ba2SiPb after structural relaxation from Alexandria via LeMat-Bulk. Energies are from GGA-PBE.

For the uncorrected formation energy, the calculation gives 69 meV per atom. Its density of states at the Fermi level is 4.42 states/eV/f.u. The calculation puts the total energy at -50.81 eV/cell. Its energy above the most stable polymorph in this dataset is 2.013 eV per formula unit. The calculation puts the magnetic moment at 0.00 μB per cell.

Cell: 8.2264 8.2264 8.2264 Å, 90.00 90.00 90.00°
Space group F-43m (No. 216)
Symmetry-distinct sites (fractional):
Ba  0.0000  0.0000  0.0000 x4
Ba  0.2500  0.2500  0.2500 x4
Si  0.2500  0.2500  0.7500 x4
Pb  0.0000  0.0000  0.5000 x4



# 2
Here is KGeSb after structural relaxation from Alexandria via LeMat-Bulk. Energies are from GGA-PBE.

For the uncorrected formation energy, the calculation gives -134 meV per atom. Its density of states at the Fermi level is 0.82 states/eV/f.u. The calculation puts the total energy at -20.48 eV/cell. The calculation puts the magnetic moment at 0.00 μB per cell.

Cell: 3.7614 3.7614 12.5623 Å, 90.00 90.00 90.00°
Space group I4mm (No. 107)
Symmetry-distinct sites (fractional):
K  0.0000  0.0000  0.0000 x2
Ge  0.0000  0.0000  0.3024 x2
Sb  0.0000  0.0000  0.7077 x2



# 3
Here is La8Tl2Sn after structural relaxation from Alexandria via LeMat-Bulk. Energies are from GGA-PBE.

The formation energy comes out at -0.282 eV per atom. Its density of states at the Fermi level is 13.26 states/eV/f.u. The calculation puts the total energy at -102.52 eV/cell. Its energy above the most stable polymorph in this dataset is 0.000 eV per formula unit. The calculation puts the magnetic moment at 0.00 μB per cell.

Cell: 19.4576 5.3974 7.6224 Å, 90.00 110.82 90.00°
Space group C2/m (No. 12)
Symmetry-distinct sites (fractional):
La  0.0049  0.0000  0.2562 x4
La  0.0899  0.5000  0.9624 x4
La  0.1601  0.5000  0.4620 x4
La  0.2040  0.0000  0.8076 x4
Tl  0.1731  0.0000  0.2132 x4
Sn  0.0000  0.5000  0.5000 x2



# 4
Here is La4MgRh after structural relaxation from Alexandria via LeMat-Bulk. Energies are from GGA-PBE.

The formation energy comes out at -0.363 eV per atom. Its density of states at the Fermi level is 5.95 states/eV/f.u. The calculation puts the total energy at -493.30 eV/cell. Its energy above the most stable polymorph in this dataset is 0.000 eV per formula unit. The calculation puts the magnetic moment at 0.00 μB per cell.

Cell: 14.3922 14.3922 14.3922 Å, 90.00 90.00 90.00°
Space group F-43m (No. 216)
Symmetry-distinct sites (fractional):
La  0.0000  0.0000  0.1883 x24
La  0.0611  0.2500  0.2500 x24
La  0.0963  0.0963  0.5963 x16
Mg  0.1713  0.1713  0.8287 x16
Rh  0.1085  0.1085  0.3915 x16



# 5
Here is Mg2ScRu4 after structural relaxation from Alexandria via LeMat-Bulk. Energies are from GGA-PBE.

The formation energy comes out at 1.152 eV per atom. Its density of states at the Fermi level is 10.47 states/eV/f.u. The calculation puts the total energy at -77.12 eV/cell. The calculation puts the magnetic moment at 4.43 μB per cell.

Cell: 4.5650 4.5650 13.3240 Å, 90.00 90.00 90.00°
Space group I4/mmm (No. 139)
Symmetry-distinct sites (fractional):
Mg  0.0000  0.0000  0.1232 x4
Sc  0.0000  0.0000  0.5000 x2
Ru  0.0000  0.0000  0.3166 x4
Ru  0.0000  0.5000  0.0000 x4



# 6
Here is CsHBr2F8 after structural relaxation from Alexandria via LeMat-Bulk. Energies are from GGA-PBE.

The calculation puts the total energy at -72.36 eV/cell. The calculation puts the magnetic moment at 0.00 μB per cell.

Cell: 11.2444 6.1304 8.4807 Å, 90.00 124.61 90.00°
Space group C2/m (No. 12)
Symmetry-distinct sites (fractional):
Cs  0.0000  0.0000  0.0000 x2
H  0.0000  0.0000  0.5000 x2
Br  0.0644  0.5000  0.3855 x4
F  0.0556  0.1793  0.4011 x8
F  0.0737  0.5000  0.8870 x4
F  0.2127  0.5000  0.6526 x4